[1]
Crystalline Rb3TmPu2S6 at its relaxed geometry. Source: Alexandria, functional GGA-PBE.

Values from the calculation:
* calculated density: 5.47 g cm⁻³
* M_tot: 10.0 μB/cell
* space-group type: No. 12
* raw formation energy: -159 kJ per mole of atoms
* total energy: -6.71 eV per atom

abc: 7.1140 7.1140 8.0187
angles: 98.50 98.50 120.00
With the nearest neighbours (Å) after each atom.
Fractional positions:
Rb 0.1670 0.8330 0.5000  6 S 3.34-3.38
Rb 0.8330 0.1670 0.5000  6 S 3.34-3.38
Rb 0.5000 0.5000 0.5000  6 S 3.34-3.38
Tm 0.0000 0.0000 0.0000  6 S 2.75
Pu 0.3334 0.6666 0.0000  6 S 2.80
Pu 0.6666 0.3334 0.0000  6 S 2.80
S 0.9366 0.6082 0.8097  1 Tm 2.75, 2 Pu 2.80
S 0.7351 0.7351 0.1903  1 Tm 2.75, 2 Pu 2.80
S 0.0634 0.3918 0.1903  1 Tm 2.75, 2 Pu 2.80
S 0.6082 0.9366 0.8097  1 Tm 2.75, 2 Pu 2.80
S 0.2649 0.2649 0.8097  1 Tm 2.75, 2 Pu 2.80
S 0.3918 0.0634 0.1903  1 Tm 2.75, 2 Pu 2.80

---

[2]
Crystalline Rb2Tm2PuS6 at its relaxed geometry. Source: Alexandria, functional GGA-PBE.

Values from the calculation:
* calculated density: 4.85 g cm⁻³
* M_tot: 4.0 μB/cell
* space-group type: No. 12
* raw formation energy: -168 kJ per mole of atoms
* total energy: -6.28 eV per atom

abc: 6.8948 6.8948 8.2064
angles: 98.17 98.17 120.00
With the nearest neighbours (Å) after each atom.
Fractional positions:
Rb 0.8318 0.1682 0.0000  6 S 3.38
Rb 0.1682 0.8318 0.0000  6 S 3.38
Tm 0.3335 0.6665 0.5000  6 S 2.72-2.73
Tm 0.6665 0.3335 0.5000  6 S 2.72-2.73
Pu 0.0000 0.0000 0.5000  6 S 2.70-2.71
S 0.7329 0.7329 0.6844  1 Pu 2.70, 2 Tm 2.73
S 0.0610 0.3930 0.6846  1 Pu 2.71, 2 Tm 2.72-2.73
S 0.2671 0.2671 0.3156  1 Pu 2.70, 2 Tm 2.73
S 0.3930 0.0610 0.6846  1 Pu 2.71, 2 Tm 2.72-2.73
S 0.9390 0.6070 0.3154  1 Pu 2.71, 2 Tm 2.72-2.73
S 0.6070 0.9390 0.3154  1 Pu 2.71, 2 Tm 2.72-2.73

---

[3]
Crystalline Rb3TmPu3S8 at its relaxed geometry. Source: Alexandria, functional GGA-PBE.

Values from the calculation:
* calculated density: 5.30 g cm⁻³
* M_tot: 14.0 μB/cell
* space-group type: No. 166
* raw formation energy: -158 kJ per mole of atoms
* total energy: -7.19 eV per atom

abc: 8.1182 8.1183 9.0708
angles: 116.61 90.00 120.00
With the nearest neighbours (Å) after each atom.
Fractional positions:
Rb 0.0000 0.0000 0.0000  6 S 3.37-3.39
Rb 0.0000 0.5000 0.0000  6 S 3.38-3.39
Rb 0.5000 0.5000 0.0000  6 S 3.38-3.39
Tm 0.0000 0.0000 0.5000  6 S 2.73
Pu 0.5000 0.0000 0.5000  6 S 2.75-2.76
Pu 0.5000 0.5000 0.5000  6 S 2.75-2.76
Pu 0.0000 0.5000 0.5000  6 S 2.75-2.76
S 0.2709 0.5417 0.3128  3 Pu 2.76
S 0.7291 0.4583 0.6872  3 Pu 2.76
S 0.7732 0.5465 0.3160  1 Tm 2.73, 2 Pu 2.75
S 0.2268 0.4535 0.6840  1 Tm 2.73, 2 Pu 2.75
S 0.7733 0.0425 0.3160  1 Tm 2.73, 2 Pu 2.75
S 0.2267 0.9575 0.6840  1 Tm 2.73, 2 Pu 2.75
S 0.2692 0.0425 0.3160  1 Tm 2.73, 2 Pu 2.75
S 0.7308 0.9575 0.6840  1 Tm 2.73, 2 Pu 2.75

---

[4]
Crystalline Rb4Tm3PuS8 at its relaxed geometry. Source: Alexandria, functional GGA-PBE.

Values from the calculation:
* calculated density: 5.11 g cm⁻³
* M_tot: 5.0 μB/cell
* space-group type: No. 166
* raw formation energy: -170 kJ per mole of atoms
* total energy: -5.80 eV per atom

abc: 8.1284 8.9865 8.1284
angles: 116.89 120.00 90.00
With the nearest neighbours (Å) after each atom.
Fractional positions:
Rb 0.5000 0.0000 0.0000  6 S 3.31
Rb 0.5000 0.0000 0.5000  6 S 3.34-3.36
Rb 0.0000 0.0000 0.0000  6 S 3.34-3.36
Rb 0.0000 0.0000 0.5000  6 S 3.34-3.36
Tm 0.5000 0.5000 0.0000  6 S 2.74-2.76
Tm 0.5000 0.5000 0.5000  6 S 2.74-2.76
Tm 0.0000 0.5000 0.5000  6 S 2.74-2.76
Pu 0.0000 0.5000 0.0000  6 S 2.80
S 0.2332 0.6899 0.9568  2 Tm 2.74, 1 Pu 2.80
S 0.2332 0.6899 0.4663  2 Tm 2.74, 1 Pu 2.80
S 0.2701 0.3104 0.5403  3 Tm 2.76
S 0.7236 0.6899 0.9568  2 Tm 2.74, 1 Pu 2.80
S 0.2764 0.3101 0.0432  2 Tm 2.74, 1 Pu 2.80
S 0.7299 0.6896 0.4597  3 Tm 2.76
S 0.7668 0.3101 0.5337  2 Tm 2.74, 1 Pu 2.80
S 0.7668 0.3101 0.0432  2 Tm 2.74, 1 Pu 2.80

---

[5]
Crystalline Rb4Pu3US8 at its relaxed geometry. Source: Alexandria, functional GGA-PBE.

Values from the calculation:
* calculated density: 5.74 g cm⁻³
* M_tot: 18.0 μB/cell
* space-group type: No. 166
* raw formation energy: -148 kJ per mole of atoms
* total energy: -7.23 eV per atom

abc: 8.2707 9.0262 8.2708
angles: 117.28 120.00 90.00
With the nearest neighbours (Å) after each atom.
Fractional positions:
Rb 0.5000 0.0000 0.0000  6 S 3.40
Rb 0.5000 0.0000 0.5000  6 S 3.35-3.36
Rb 0.0000 0.0000 0.0000  6 S 3.35-3.36
Rb 0.0000 0.0000 0.5000  6 S 3.35-3.36
Pu 0.5000 0.5000 0.0000  6 S 2.80-2.82
Pu 0.5000 0.5000 0.5000  6 S 2.80-2.82
Pu 0.0000 0.5000 0.5000  6 S 2.80-2.82
U 0.0000 0.5000 0.0000  6 S 2.75
S 0.2264 0.6900 0.9637  1 U 2.75, 2 Pu 2.82
S 0.2264 0.6900 0.4528  1 U 2.75, 2 Pu 2.82
S 0.2698 0.3095 0.5396  3 Pu 2.80
S 0.7373 0.6900 0.9637  1 U 2.75, 2 Pu 2.82
S 0.2627 0.3100 0.0363  1 U 2.75, 2 Pu 2.82
S 0.7302 0.6905 0.4604  3 Pu 2.80
S 0.7736 0.3100 0.5472  1 U 2.75, 2 Pu 2.82
S 0.7736 0.3100 0.0363  1 U 2.75, 2 Pu 2.82

---

[6]
Crystalline Rb2PuUS6 at its relaxed geometry. Source: Alexandria, functional GGA-PBE.

Values from the calculation:
* calculated density: 4.96 g cm⁻³
* M_tot: 8.0 μB/cell
* space-group type: No. 59
* raw formation energy: -127 kJ per mole of atoms
* total energy: -6.54 eV per atom

abc: 7.3679 7.3686 10.4191
angles: 90.00 90.00 90.00
With the nearest neighbours (Å) after each atom.
Fractional positions:
Rb 0.5000 0.7500 0.2500  12 S 3.68-3.69
Rb 0.0000 0.2500 0.7500  12 S 3.68-3.69
Rb 0.5000 0.7500 0.7500  12 S 3.68-3.69
Rb 0.0000 0.2500 0.2500  12 S 3.68-3.69
Pu 0.0000 0.7497 0.5000  6 S 2.65
Pu 0.5000 0.2503 0.0000  6 S 2.65
U 0.5000 0.2497 0.5000  6 S 2.56
U 0.0000 0.7503 0.0000  6 S 2.56
S 0.5000 0.2500 0.2545  1 U 2.56, 1 Pu 2.65
S 0.5000 0.2500 0.7455  1 U 2.56, 1 Pu 2.65
S 0.0000 0.7500 0.2455  1 U 2.56, 1 Pu 2.65
S 0.0000 0.7500 0.7545  1 U 2.56, 1 Pu 2.65
S 0.2547 0.0040 0.5000  1 U 2.56, 1 Pu 2.65
S 0.7453 0.0040 0.5000  1 U 2.56, 1 Pu 2.65
S 0.2544 0.4950 0.5000  1 U 2.56, 1 Pu 2.65
S 0.7456 0.4950 0.5000  1 U 2.56, 1 Pu 2.65
S 0.7544 0.5050 0.0000  1 U 2.56, 1 Pu 2.65
S 0.2456 0.5050 0.0000  1 U 2.56, 1 Pu 2.65
S 0.2453 0.9960 0.0000  1 U 2.56, 1 Pu 2.65
S 0.7547 0.9960 0.0000  1 U 2.56, 1 Pu 2.65

---

[7]
Crystalline Rb3PuU2S6 at its relaxed geometry. Source: Alexandria, functional GGA-PBE.

Values from the calculation:
* calculated density: 5.69 g cm⁻³
* M_tot: 0.3 μB/cell
* space-group type: No. 12
* raw formation energy: -136 kJ per mole of atoms
* total energy: -6.79 eV per atom

abc: 7.1487 7.1487 8.0628
angles: 98.50 98.50 120.00
With the nearest neighbours (Å) after each atom.
Fractional positions:
Rb 0.1651 0.8349 0.5000  6 S 3.33-3.38
Rb 0.8349 0.1651 0.5000  6 S 3.33-3.38
Rb 0.5000 0.5000 0.5000  6 S 3.32-3.38
Pu 0.0000 0.0000 0.0000  6 S 2.86
U 0.3332 0.6668 0.0000  6 S 2.78
U 0.6668 0.3332 0.0000  6 S 2.78
S 0.9358 0.5941 0.8075  2 U 2.78, 1 Pu 2.86
S 0.7223 0.7223 0.1921  2 U 2.78, 1 Pu 2.86
S 0.0642 0.4059 0.1925  2 U 2.78, 1 Pu 2.86
S 0.5941 0.9358 0.8075  2 U 2.78, 1 Pu 2.86
S 0.2777 0.2777 0.8079  2 U 2.78, 1 Pu 2.86
S 0.4059 0.0642 0.1925  2 U 2.78, 1 Pu 2.86

---

[8]
Crystalline Rb4PuU3S12 at its relaxed geometry. Source: Alexandria, functional GGA-PBE.

Values from the calculation:
* calculated density: 4.93 g cm⁻³
* M_tot: 6.0 μB/cell
* space-group type: No. 229
* raw formation energy: -129 kJ per mole of atoms
* total energy: -6.42 eV per atom

abc: 9.0311 9.0311 9.0311
angles: 109.47 109.47 109.47
With the nearest neighbours (Å) after each atom.
Fractional positions:
Rb 0.5000 0.5000 0.5000  12 S 3.69
Rb 0.0000 0.0000 0.5000  12 S 3.69
Rb 0.5000 0.0000 0.0000  12 S 3.69
Rb 0.0000 0.5000 0.0000  12 S 3.69
Pu 0.0000 0.0000 0.0000  6 S 2.69
U 0.5000 0.0000 0.5000  6 S 2.53-2.61
U 0.5000 0.5000 0.0000  6 S 2.53-2.61
U 0.0000 0.5000 0.5000  6 S 2.53-2.61
S 0.2500 0.5000 0.7500  2 U 2.61
S 0.7425 0.0000 0.7425  1 U 2.53, 1 Pu 2.69
S 0.2575 0.0000 0.2575  1 U 2.53, 1 Pu 2.69
S 0.7500 0.5000 0.2500  2 U 2.61
S 0.7425 0.7425 0.0000  1 U 2.53, 1 Pu 2.69
S 0.2575 0.2575 0.0000  1 U 2.53, 1 Pu 2.69
S 0.7500 0.2500 0.5000  2 U 2.61
S 0.2500 0.7500 0.5000  2 U 2.61
S 0.5000 0.2500 0.7500  2 U 2.61
S 0.0000 0.7425 0.7425  1 U 2.53, 1 Pu 2.69
S 0.5000 0.7500 0.2500  2 U 2.61
S 0.0000 0.2575 0.2575  1 U 2.53, 1 Pu 2.69